VASP calculation (GGA-PBE) on ZnCd2Os after structural relaxation.

a b c (Å): 10.193 10.193 10.193
angles (deg): 157.84 157.84 31.54
Fractional positions:
Zn  0.000  0.000  0.000
Zn  0.750  0.250  0.500
Cd  0.131  0.625  0.006
Cd  0.375  0.381  0.506
Cd  0.619  0.125  0.994
Cd  0.875  0.869  0.494
Os  0.250  0.750  0.500
Os  0.500  0.500  0.000

## Properties
- crystal system = tetragonal
- energy (eV per atom) = -2.87
- SG = I-42d (122)

VASP calculation (GGA-PBE) on SrLa4Te after structural relaxation.

a b c (Å): 6.798 6.798 6.798
angles (deg): 60.00 60.00 60.00
Fractional positions:
Sr  0.000  0.000  0.000
La  0.372  0.372  0.372
La  0.372  0.372  0.885
La  0.372  0.885  0.372
La  0.885  0.372  0.372
Te  0.750  0.750  0.750

## Properties
- crystal system = cubic
- E_form (uncorrected) (eV/f.u.) = 0.24
- energy (eV per atom) = -4.05
- SG = F-43m (216)

VASP calculation (GGA-PBE) on Ba2Cu2Br7 after structural relaxation.

a b c (Å): 8.145 8.145 6.781
angles (deg): 96.02 96.02 103.12
Fractional positions:
Ba  0.203  0.797  0.000
Ba  0.797  0.203  0.000
Cu  0.275  0.275  0.578
Cu  0.725  0.725  0.422
Br  0.088  0.415  0.759
Br  0.115  0.115  0.264
Br  0.415  0.088  0.759
Br  0.500  0.500  0.500
Br  0.585  0.912  0.241
Br  0.885  0.885  0.736
Br  0.912  0.585  0.241

## Properties
- crystal system = monoclinic
- E_form (uncorrected) (eV/f.u.) = -13.94
- energy (eV per atom) = -3.43
- SG = C2/m (12)